Entry 1:
In2IrPt: single point on PBEsol structure, meta-GGA SCAN.

Unit cell a=4.5971 b=4.5971 c=4.5971 alpha=60.00 beta=60.00 gamma=60.00
Closest atoms and distances in Å follow each position.
Fractional positions:
In  0.0000  0.0000  0.0000  4 Ir 2.82, 4 In 2.82
In  0.2500  0.2500  0.2500  4 In 2.82, 4 Pt 2.82
Ir  0.7500  0.7500  0.7500  4 In 2.82, 4 Pt 2.82
Pt  0.5000  0.5000  0.5000  4 Ir 2.82, 4 In 2.82

Computed properties:
DFT total energy ... -207.569 eV/cell
Volume ... 17.2 Å³/atom
Polymorph energy (0 for the lowest one) ... 235 meV/atom
Density of states at the Fermi level ... 1.6 states/eV/cell

Entry 2:
SmC2: single point on PBEsol structure, meta-GGA SCAN.

Unit cell a=4.1109 b=4.1109 c=4.1109 alpha=126.17 beta=126.17 gamma=79.60
Closest atoms and distances in Å follow each position.
Fractional positions:
Sm  0.0000  0.0000  0.0000  10 C 2.51-2.71
C  0.3972  0.3972  0.0000  1 C 1.30
C  0.6028  0.6028  0.0000  1 C 1.30

Computed properties:
DFT total energy ... -65.511 eV/cell
Volume ... 14.6 Å³/atom
Density of states at the Fermi level ... 0.7 states/eV/cell